Record 1
VASP calculation (PBE) on a relaxed structure of CsHg.

Calculated values
Formation energy in kJ/mol of formula units: -32
Calculated density in g/cm³: 5.33
Density of states at the Fermi level in states/eV/atom: 0.71
Space-group type: Fddd, No. 70

Lattice parameters (Å, degrees): 7.7625 18.8382 11.3692 90.00 90.00 90.00
Sites, in units of the cell vectors:
1 Cs 0.5000 0.5000 0.6803
2 Cs 0.0000 0.0000 0.3197
3 Cs 0.2500 0.7500 0.9303
4 Cs 0.2500 0.7500 0.5697
5 Hg 0.2500 0.6693 0.2500
6 Cs 0.2500 0.2500 0.0697
7 Hg 0.2500 0.8307 0.2500
8 Hg 0.5000 0.5807 0.0000
9 Hg 0.2500 0.1693 0.7500
10 Cs 0.0000 0.5000 0.1803
11 Hg 0.0000 0.4193 0.5000
12 Cs 0.0000 0.0000 0.6803
13 Cs 0.5000 0.0000 0.8197
14 Cs 0.7500 0.2500 0.5697
15 Hg 0.5000 0.0807 0.5000
16 Hg 0.7500 0.1693 0.2500
17 Cs 0.7500 0.7500 0.0697
18 Cs 0.2500 0.2500 0.4303
19 Cs 0.5000 0.0000 0.1803
20 Hg 0.0000 0.9193 0.0000
21 Hg 0.5000 0.9193 0.5000
22 Hg 0.2500 0.3307 0.7500
23 Cs 0.7500 0.7500 0.4303
24 Cs 0.7500 0.2500 0.9303
25 Hg 0.7500 0.6693 0.7500
26 Cs 0.0000 0.5000 0.8197
27 Hg 0.7500 0.8307 0.7500
28 Hg 0.5000 0.4193 0.0000
29 Hg 0.0000 0.5807 0.5000
30 Hg 0.7500 0.3307 0.2500
31 Cs 0.5000 0.5000 0.3197
32 Hg 0.0000 0.0807 0.0000

Record 2
VASP calculation (PBE) on a relaxed structure of Cs3Hg13.

Calculated values
Formation energy in kJ/mol of formula units: -272
Calculated density in g/cm³: 8.42
Density of states at the Fermi level in states/eV/atom: 0.45
Space-group type: Amm2, No. 38

Lattice parameters (Å, degrees): 8.0888 8.0888 10.0465 90.00 90.00 115.53
Sites, in units of the cell vectors:
1 Hg 0.5141 0.9648 0.2657
2 Hg 0.0352 0.4859 0.7343
3 Hg 0.4163 0.2141 0.5000
4 Cs 0.0151 0.9849 0.2570
5 Hg 0.6121 0.7932 0.0000
6 Hg 0.0352 0.4859 0.2657
7 Hg 0.2068 0.3879 0.0000
8 Hg 0.5141 0.9648 0.7343
9 Hg 0.2505 0.7495 0.5000
10 Hg 0.7859 0.5837 0.5000
11 Hg 0.4602 0.5398 0.2928
12 Hg 0.8069 0.1931 0.5000
13 Cs 0.6616 0.3384 0.0000
14 Cs 0.0151 0.9849 0.7430
15 Hg 0.2109 0.7891 0.0000
16 Hg 0.4602 0.5398 0.7072

Record 3
VASP calculation (PBE) on a relaxed structure of Cs4Hg3.

Calculated values
Formation energy in kJ/mol of formula units: -131
Calculated density in g/cm³: 4.63
Density of states at the Fermi level in states/eV/atom: 0.81
Space-group type: P-3, No. 147

Lattice parameters (Å, degrees): 5.6740 15.7514 15.7514 120.00 90.00 90.00
Sites, in units of the cell vectors:
1 Hg 0.7460 0.5564 0.7231
2 Cs 0.7549 0.2463 0.2303
3 Cs 0.7549 0.9840 0.7537
4 Hg 0.2540 0.4436 0.2769
5 Cs 0.2496 0.3819 0.5178
6 Cs 0.7504 0.8641 0.3819
7 Cs 0.2451 0.2303 0.9840
8 Hg 0.7460 0.1667 0.4436
9 Cs 0.2451 0.0160 0.2463
10 Hg 0.5000 0.0000 0.0000
11 Hg 0.2540 0.7231 0.1667
12 Hg 0.2540 0.8333 0.5564
13 Hg 0.7499 0.3333 0.6667
14 Cs 0.7504 0.6181 0.4822
15 Cs 0.2451 0.7537 0.7697
16 Hg 0.7460 0.2769 0.8333
17 Cs 0.7504 0.5178 0.1359
18 Hg 0.2501 0.6667 0.3333
19 Cs 0.7549 0.7697 0.0160
20 Cs 0.2496 0.4822 0.8641
21 Cs 0.2496 0.1359 0.6181

Q: density of states at the Fermi level of number 3 (Cs4Hg3)?
A: 0.81 states/eV/atom